Entry 1:
{"formula": "Ta6Mo5Ir", "functional": "PBE-GGA", "state": "relaxed", "n_ef_per_ev_fu": 7.140, "total_energy_ev_per_atom": -11.4922, "rho_g_cm3": 14.5, "spacegroup": "Immm", "formation_energy_mev_per_atom": -315, "lattice_angstrom": [[4.373, 0.019, -1.276], [-0.883, 5.651, -2.943], [-0.072, 0.438, 7.892]], "species": ["Ta", "Ta", "Ta", "Ta", "Ta", "Ta", "Mo", "Mo", "Mo", "Mo", "Mo", "Ir"], "frac_coords": [[0.833, 0.084, 0.665], [0.500, 0.747, 0.000], [0.833, 0.581, 0.665], [0.167, 0.916, 0.335], [0.167, 0.419, 0.335], [0.500, 0.253, 0.000], [0.667, 0.667, 0.334], [0.000, 0.500, 0.000], [0.333, 0.333, 0.666], [0.336, 0.836, 0.671], [0.664, 0.164, 0.329], [0.000, 0.000, 0.000]]}



Entry 2:
{"formula": "Ta2MoIr", "functional": "PBE-GGA", "state": "relaxed", "n_ef_per_ev_fu": 2.509, "total_energy_ev_per_atom": -10.8349, "rho_g_cm3": 16.0, "spacegroup": "R-3m", "formation_energy_mev_per_atom": 14, "lattice_angstrom": [[-1.293, -3.986, 8.671], [1.538, -4.356, 8.451], [0.490, -1.879, 9.433]], "species": ["Ta", "Ta", "Mo", "Ir"], "frac_coords": [[0.996, 0.996, 0.996], [0.504, 0.504, 0.504], [0.750, 0.750, 0.750], [0.250, 0.250, 0.250]]}



Entry 3:
{"formula": "Ta4MoIr5", "functional": "PBE-GGA", "state": "relaxed", "n_ef_per_ev_fu": 12.488, "total_energy_ev_per_atom": -10.7620, "rho_g_cm3": 18.6, "spacegroup": "P4/mmm", "formation_energy_mev_per_atom": -507, "lattice_angstrom": [[-0.362, 2.833, 0.070], [-0.828, -0.039, -2.734], [-18.470, -2.500, 5.627]], "species": ["Ir", "Ir", "Ir", "Ir", "Ir", "Ta", "Ta", "Ta", "Ta", "Mo"], "frac_coords": [[0.500, 0.500, 0.300], [0.500, 0.500, 0.500], [0.500, 0.500, 0.096], [0.500, 0.500, 0.700], [0.500, 0.500, 0.904], [0.000, 0.000, 0.399], [0.000, 0.000, 0.800], [0.000, 0.000, 0.601], [0.000, 0.000, 0.200], [0.000, 0.000, 0.000]]}



Entry 4:
{"formula": "Ta2MoIr", "functional": "PBE-GGA", "state": "relaxed", "n_ef_per_ev_fu": 2.452, "total_energy_ev_per_atom": -11.0920, "rho_g_cm3": 16.3, "spacegroup": "C2/m", "formation_energy_mev_per_atom": -243, "lattice_angstrom": [[-3.913, 3.613, -0.761], [-0.522, -3.407, 3.980], [0.516, 1.673, 2.194]], "species": ["Mo", "Ir", "Ta", "Ta"], "frac_coords": [[0.500, 0.500, 0.000], [0.000, 0.500, 0.500], [0.000, 0.000, 0.000], [0.500, 0.000, 0.500]]}



Entry 5:
{"formula": "Ta2MoIr", "functional": "PBE-GGA", "state": "relaxed", "n_ef_per_ev_fu": 2.959, "total_energy_ev_per_atom": -11.0066, "rho_g_cm3": 16.1, "spacegroup": "Cmm2", "formation_energy_mev_per_atom": -157, "lattice_angstrom": [[-1.426, 1.789, -1.628], [-1.314, -2.285, -0.967], [-5.929, 0.828, 6.102]], "species": ["Ta", "Ta", "Ir", "Mo"], "frac_coords": [[0.000, 0.000, 0.996], [0.500, 0.500, 0.269], [0.000, 0.000, 0.508], [0.500, 0.500, 0.727]]}



Entry 6:
{"formula": "TaMoIr4", "functional": "PBE-GGA", "state": "relaxed", "n_ef_per_ev_fu": 7.540, "total_energy_ev_per_atom": -9.6911, "rho_g_cm3": 18.1, "spacegroup": "F-43m", "formation_energy_mev_per_atom": -3, "lattice_angstrom": [[0.000, 3.631, 3.631], [3.631, 0.000, 3.631], [3.631, 3.631, 0.000]], "species": ["Ta", "Ir", "Ir", "Ir", "Ir", "Mo"], "frac_coords": [[0.000, 0.000, 0.000], [0.375, 0.375, 0.375], [0.375, 0.375, 0.874], [0.375, 0.874, 0.375], [0.874, 0.375, 0.375], [0.750, 0.750, 0.750]]}